No. 1
# MgTl2Se

Crystalline MgTl2Se at its relaxed geometry (PBEsol, the Alexandria database).

Values from the calculation:
Calculated volume in Å³/atom: 25.4
Density in Mg/m³: 8.38
VASP energy in Ha/atom: -0.1096
Total moment in μB/f.u.: 0.00

Cell lengths 5.909, 11.309, 4.230 Å; angles 90.00, 134.15, 90.00 degrees
Space group C2/m (No. 12)
Unique sites:
Mg 0.000 0.000 0.000 x2
Tl 0.250 0.250 0.500 x4
Se 0.000 0.500 0.000 x2

No. 2
# MgTlSe2

Crystalline MgTlSe2 at its relaxed geometry (PBEsol, the Alexandria database).

Values from the calculation:
Calculated volume in Å³/atom: 24.9
Density in Mg/m³: 6.46
VASP energy in Ha/atom: -0.1274
Total moment in μB/f.u.: 0.00

Cell lengths 4.068, 6.289, 7.773 Å; angles 90.00, 90.00, 90.00 degrees
Space group Immm (No. 71)
Unique sites:
Mg 0.000 0.000 0.000 x2
Tl 0.000 0.000 0.500 x2
Se 0.000 0.500 0.289 x4

No. 3
# Tm2MgSe4

Crystalline Tm2MgSe4 at its relaxed geometry (PBEsol, the Alexandria database).

Values from the calculation:
Polymorph energy (0 for the lowest one) in eV/f.u.: 0.00
Calculated volume in Å³/atom: 26.7
Density in Mg/m³: 6.03
Total moment in μB/f.u.: 0.00

Cell lengths 11.430, 11.430, 11.430 Å; angles 90.00, 90.00, 90.00 degrees
Space group Fd-3m (No. 227, origin choice 2)
Unique sites:
Tm 0.000 0.000 0.000 x16
Mg 0.125 0.125 0.625 x8
Se 0.005 0.005 0.245 x32

No. 4
# Tm2MgSe4

Crystalline Tm2MgSe4 at its relaxed geometry (PBEsol, the Alexandria database).

Values from the calculation:
Polymorph energy (0 for the lowest one) in eV/f.u.: 0.30
Calculated volume in Å³/atom: 24.5
Density in Mg/m³: 6.56
Total moment in μB/f.u.: 0.00

Cell lengths 12.888, 3.919, 13.590 Å; angles 90.00, 90.00, 90.00 degrees
Space group Pnma (No. 62)
Unique sites:
Tm 0.113 0.250 0.076 x4
Tm 0.145 0.250 0.702 x4
Mg 0.116 0.750 0.445 x4
Se 0.014 0.750 0.617 x4
Se 0.032 0.250 0.881 x4
Se 0.219 0.250 0.254 x4
Se 0.244 0.250 0.514 x4

No. 5
# MgWSe2

Crystalline MgWSe2 at its relaxed geometry (PBEsol, the Alexandria database).

Values from the calculation:
Calculated volume in Å³/atom: 19.5
Density in Mg/m³: 7.80
VASP energy in Ha/atom: -0.2003
Total moment in μB/f.u.: 1.27

Cell lengths 3.600, 3.600, 12.027 Å; angles 90.00, 90.00, 90.00 degrees
Space group I-4m2 (No. 119)
Unique sites:
Mg 0.000 0.000 0.000 x2
W 0.000 0.500 0.750 x2
Se 0.000 0.000 0.500 x2
Se 0.000 0.500 0.250 x2

No. 6
# MgW2Se

Crystalline MgW2Se at its relaxed geometry (PBEsol, the Alexandria database).

Values from the calculation:
Polymorph energy (0 for the lowest one) in eV/f.u.: 1.10
Calculated volume in Å³/atom: 16.5
Density in Mg/m³: 11.84
Total moment in μB/f.u.: 0.00

Cell lengths 5.271, 8.694, 2.883 Å; angles 90.00, 90.00, 90.00 degrees
Space group Cmmm (No. 65)
Unique sites:
Mg 0.000 0.000 0.000 x2
W 0.250 0.250 0.500 x4
Se 0.000 0.500 0.000 x2